(1)
Compound: BePPd2Pt
Source: Alexandria via LeMat-Bulk
Functional: PBE
Structure: relaxed

The volume comes out at 19.644 Å³ per atom. The calculation puts the total energy at -4.196 eV per atom.

The space group is P4/mmm (No. 123) and the conventional cell measures 4.959, 4.959 and 3.994 Å, with angles of 90.00, 90.00 and 90.00 degrees. The distinct sites, in fractional coordinates, are Be at (0.000, 0.000, 0.000), P at (0.500, 0.500, 0.000), Pd at (0.000, 0.500, 0.500) and Pt at (0.000, 0.000, 0.500).

(2)
Compound: PuBePPd
Source: Alexandria via LeMat-Bulk
Functional: PBE
Structure: relaxed

The volume comes out at 17.319 Å³ per atom. The calculation puts the total energy at -7.903 eV per atom.

The space group is P4/nmm (No. 129, origin choice 2) and the conventional cell measures 3.995, 3.995 and 8.681 Å, with angles of 90.00, 90.00 and 90.00 degrees. The distinct sites, in fractional coordinates, are Pu at (0.250, 0.250, 0.185), Be at (0.250, 0.250, 0.629), P at (0.250, 0.250, 0.868) and Pd at (0.250, 0.750, 0.500).

(3)
Compound: BePPd2Rh
Source: Alexandria via LeMat-Bulk
Functional: PBE
Structure: relaxed

The volume comes out at 18.512 Å³ per atom. The calculation puts the total energy at -4.336 eV per atom.

The space group is P4/mmm (No. 123) and the conventional cell measures 4.870, 4.870 and 3.902 Å, with angles of 90.00, 90.00 and 90.00 degrees. The distinct sites, in fractional coordinates, are Be at (0.000, 0.000, 0.000), P at (0.500, 0.500, 0.000), Pd at (0.000, 0.500, 0.500) and Rh at (0.000, 0.000, 0.500).

(4)
Compound: BePPdS2
Source: Alexandria via LeMat-Bulk
Functional: PBE
Structure: relaxed

The value obtained for the offset from the most stable computed form is 0.000 eV/atom. The volume comes out at 15.649 Å³ per atom. The calculation puts the energy relative to the elements, uncorrected at 535 meV/atom. The calculation puts the total energy at -3.982 eV per atom.

The space group is P4/mmm (No. 123) and the conventional cell measures 4.327, 4.327 and 4.178 Å, with angles of 90.00, 90.00 and 90.00 degrees. The distinct sites, in fractional coordinates, are Be at (0.000, 0.000, 0.000), P at (0.000, 0.000, 0.500), Pd at (0.500, 0.500, 0.500) and S at (0.000, 0.500, 0.000).